# 1
The following is a DFT calculation (GGA-PBE) of a relaxed structure of CaZnGe.

Calculated values
E_form	-345	meV/atom
space-group type	No. 12
crystal system	monoclinic
M_tot	0.00	Bohr magnetons per cell

Lattice parameters (Å, degrees): 5.868 5.301 5.587 61.67 58.14 89.98
Atoms (fractional coordinates):
Ge (0.063, 0.287, 0.672)
Zn (0.563, 0.787, 0.172)
Zn (0.563, 0.287, 0.172)
Ge (0.563, 0.287, 0.672)
Ca (0.937, 0.911, 0.425)
Ca (0.189, 0.663, 0.920)

# 2
The following is a DFT calculation (GGA-PBE) of a relaxed structure of Sb2PbCI.

Calculated values
space-group type	No. 123
raw formation energy	2.06	eV per atom
crystal system	tetragonal
M_tot	3.58	Bohr magnetons per cell
E above lowest polymorph	1126.6	meV/atom

Lattice parameters (Å, degrees): 5.978 5.978 6.157 90.00 90.00 90.00
Last column: magnetic moment on the atom in μB.
Atoms (fractional coordinates):
C (0.500, 0.500, 0.500)  0.97
Pb (0.000, 0.000, 0.000)  -0.01
Sb (0.000, 0.500, 0.000)  0.26
I (0.000, 0.000, 0.500)  0.13
Sb (0.500, 0.000, 0.000)  0.26

# 3
The following is a DFT calculation (GGA-PBE) of a relaxed structure of Na2YP.

Calculated values
E_form	-333	meV/atom
space-group type	No. 122
crystal system	tetragonal
M_tot	0.00	Bohr magnetons per cell

Lattice parameters (Å, degrees): 4.058 4.058 12.740 80.83 80.83 90.00
Atoms (fractional coordinates):
Na (0.375, 0.398, 0.750)
Na (0.875, 0.852, 0.750)
P (0.250, 0.750, 0.500)
Y (0.750, 0.250, 0.500)
P (0.500, 0.500, 0.000)
Na (0.148, 0.625, 0.250)
Y (0.000, 0.000, 0.000)
Na (0.602, 0.125, 0.250)

Number 1: energy -2.976 eV per atom. Number 2: energy -2.484 eV per atom. Number 3: energy -3.961 eV per atom.